# Sm6CuRh5 GGA-PBE optimized geometry
# DOS at the Fermi energy = 0.470 states/eV per atom
# Formation enthalpy at 0 K = -645 meV per atom
data_Sm6CuRh5
_cell_length_a 4.949
_cell_length_b 7.035
_cell_length_c 14.921
_cell_angle_alpha 90.00
_cell_angle_beta 90.00
_cell_angle_gamma 90.00
_symmetry_space_group_name_H-M 'I m m m'
_symmetry_Int_Tables_number 71
_symmetry_space_group_name_Hall '-I 2 2'
loop_
_atom_site_label
_atom_site_fract_x
_atom_site_fract_y
_atom_site_fract_z
_atom_site_occupancy
Sm1 0.000 0.246 0.000 1
Sm2 0.000 0.251 0.332 1
Cu1 0.000 0.000 0.500 1
Rh1 0.000 0.000 0.166 1
Rh2 0.000 0.500 0.167 1
Rh3 0.000 0.500 0.500 1


# Sm4CuRh GGA-PBE optimized geometry
# DOS at the Fermi energy = 0.953 states/eV per atom
# Formation enthalpy at 0 K = -323 meV per atom
data_Sm4CuRh
_cell_length_a 13.631
_cell_length_b 13.631
_cell_length_c 13.631
_cell_angle_alpha 90.00
_cell_angle_beta 90.00
_cell_angle_gamma 90.00
_symmetry_space_group_name_H-M 'F -4 3 m'
_symmetry_Int_Tables_number 216
_symmetry_space_group_name_Hall 'F -4 2 3'
loop_
_atom_site_label
_atom_site_fract_x
_atom_site_fract_y
_atom_site_fract_z
_atom_site_occupancy
Sm1 0.000 0.000 0.186 1
Sm2 0.060 0.250 0.250 1
Sm3 0.107 0.107 0.607 1
Cu1 0.161 0.161 0.839 1
Rh1 0.106 0.106 0.394 1


# Sm12Cu6Rh GGA-PBE optimized geometry
# DOS at the Fermi energy = 1.275 states/eV per atom
# Formation enthalpy at 0 K = -18 meV per atom
data_Sm12Cu6Rh
_cell_length_a 12.4773
_cell_length_b 12.4773
_cell_length_c 12.1903
_cell_angle_alpha 90.00
_cell_angle_beta 90.00
_cell_angle_gamma 120.00
_symmetry_space_group_name_H-M 'R -3'
_symmetry_Int_Tables_number 148
_symmetry_space_group_name_Hall '-R 3'
loop_
_atom_site_label
_atom_site_fract_x
_atom_site_fract_y
_atom_site_fract_z
_atom_site_occupancy
Sm1 0.0255 0.2001 0.3901 1
Sm2 0.0360 0.1979 0.8754 1
Cu1 0.0451 0.2721 0.6449 1
Rh1 0.0000 0.0000 0.0000 1


# Sm3Cu2Rh7 GGA-PBE optimized geometry
# DOS at the Fermi energy = 0.637 states/eV per atom
# Formation enthalpy at 0 K = -528 meV per atom
data_Sm3Cu2Rh7
_cell_length_a 5.3431
_cell_length_b 5.3431
_cell_length_c 25.5656
_cell_angle_alpha 90.00
_cell_angle_beta 90.00
_cell_angle_gamma 120.00
_symmetry_space_group_name_H-M 'R -3 m'
_symmetry_Int_Tables_number 166
_symmetry_space_group_name_Hall '-R 3 2"'
loop_
_atom_site_label
_atom_site_fract_x
_atom_site_fract_y
_atom_site_fract_z
_atom_site_occupancy
Sm1 0.0000 0.0000 0.0000 1
Sm2 0.0000 0.0000 0.1401 1
Cu1 0.0000 0.0000 0.3339 1
Rh1 0.0000 0.0000 0.5000 1
Rh2 0.0032 0.5016 0.9182 1


# Sm8CuRh5 GGA-PBE optimized geometry
# DOS at the Fermi energy = 0.240 states/eV per atom
# Formation enthalpy at 0 K = -594 meV per atom
data_Sm8CuRh5
_cell_length_a 8.815
_cell_length_b 8.815
_cell_length_c 8.777
_cell_angle_alpha 90.00
_cell_angle_beta 90.00
_cell_angle_gamma 90.00
_symmetry_space_group_name_H-M 'I -4'
_symmetry_Int_Tables_number 82
loop_
_symmetry_equiv_pos_as_xyz
'x,y,z'
'y,-x,-z'
'-x,-y,z'
'-y,x,-z'
'x+1/2,y+1/2,z+1/2'
'y+1/2,-x+1/2,-z+1/2'
'-x+1/2,-y+1/2,z+1/2'
'-y+1/2,x+1/2,-z+1/2'
loop_
_atom_site_label
_atom_site_fract_x
_atom_site_fract_y
_atom_site_fract_z
_atom_site_occupancy
Sm1 0.059 0.307 0.070 1
Sm2 0.063 0.186 0.683 1
Cu1 0.000 0.500 0.750 1
Rh1 0.000 0.000 0.000 1
Rh2 0.130 0.247 0.376 1


# SmCu3Rh GGA-PBE optimized geometry
# DOS at the Fermi energy = 0.563 states/eV per atom
# Formation enthalpy at 0 K = 191 meV per atom
data_SmCu3Rh
_cell_length_a 6.947
_cell_length_b 12.439
_cell_length_c 4.532
_cell_angle_alpha 90.00
_cell_angle_beta 90.00
_cell_angle_gamma 90.00
_symmetry_space_group_name_H-M 'C m c m'
_symmetry_Int_Tables_number 63
_symmetry_space_group_name_Hall '-C 2c 2'
loop_
_atom_site_label
_atom_site_fract_x
_atom_site_fract_y
_atom_site_fract_z
_atom_site_occupancy
Sm1 0.000 0.110 0.250 1
Cu1 0.000 0.500 0.000 1
Cu2 0.166 0.256 0.750 1
Rh1 0.000 0.320 0.250 1


# Sm7Cu2Rh2 GGA-PBE optimized geometry
# DOS at the Fermi energy = 1.147 states/eV per atom
# Formation enthalpy at 0 K = -200 meV per atom
data_Sm7Cu2Rh2
_cell_length_a 7.650
_cell_length_b 11.089
_cell_length_c 7.143
_cell_angle_alpha 90.00
_cell_angle_beta 90.00
_cell_angle_gamma 90.00
_symmetry_space_group_name_H-M 'C m m m'
_symmetry_Int_Tables_number 65
_symmetry_space_group_name_Hall '-C 2 2'
loop_
_atom_site_label
_atom_site_fract_x
_atom_site_fract_y
_atom_site_fract_z
_atom_site_occupancy
Sm1 0.000 0.000 0.000 1
Sm2 0.000 0.500 0.259 1
Sm3 0.250 0.250 0.267 1
Cu1 0.167 0.000 0.500 1
Rh1 0.000 0.298 0.000 1


# Sm2CuRh GGA-PBE optimized geometry
# DOS at the Fermi energy = 0.609 states/eV per atom
# Formation enthalpy at 0 K = -530 meV per atom
data_Sm2CuRh
_cell_length_a 5.664
_cell_length_b 4.422
_cell_length_c 7.741
_cell_angle_alpha 90.00
_cell_angle_beta 110.21
_cell_angle_gamma 90.00
_symmetry_space_group_name_H-M 'P 1 21/m 1'
_symmetry_Int_Tables_number 11
loop_
_symmetry_equiv_pos_as_xyz
'x,y,z'
'-x,-y,-z'
'-x,y+1/2,-z'
'x,-y+1/2,z'
loop_
_atom_site_label
_atom_site_fract_x
_atom_site_fract_y
_atom_site_fract_z
_atom_site_occupancy
Sm1 0.219 0.250 0.434 1
Sm2 0.227 0.250 0.928 1
Cu1 0.350 0.750 0.213 1
Rh1 0.343 0.750 0.714 1


# SmCuRh2 GGA-PBE optimized geometry
# DOS at the Fermi energy = 1.365 states/eV per atom
# Formation enthalpy at 0 K = -363 meV per atom
data_SmCuRh2
_cell_length_a 4.143
_cell_length_b 4.143
_cell_length_c 3.942
_cell_angle_alpha 90.00
_cell_angle_beta 90.00
_cell_angle_gamma 90.00
_symmetry_space_group_name_H-M 'P 4/m m m'
_symmetry_Int_Tables_number 123
_symmetry_space_group_name_Hall '-P 4 2'
loop_
_atom_site_label
_atom_site_fract_x
_atom_site_fract_y
_atom_site_fract_z
_atom_site_occupancy
Sm1 0.000 0.000 0.000 1
Cu1 0.500 0.500 0.000 1
Rh1 0.000 0.500 0.500 1


# Sm3Cu3Rh2 GGA-PBE optimized geometry
# DOS at the Fermi energy = 0.532 states/eV per atom
# Formation enthalpy at 0 K = -427 meV per atom
data_Sm3Cu3Rh2
_cell_length_a 4.179
_cell_length_b 10.184
_cell_length_c 15.325
_cell_angle_alpha 90.00
_cell_angle_beta 90.00
_cell_angle_gamma 90.00
_symmetry_space_group_name_H-M 'C m c m'
_symmetry_Int_Tables_number 63
_symmetry_space_group_name_Hall '-C 2c 2'
loop_
_atom_site_label
_atom_site_fract_x
_atom_site_fract_y
_atom_site_fract_z
_atom_site_occupancy
Sm1 0.000 0.099 0.099 1
Sm2 0.000 0.374 0.250 1
Cu1 0.000 0.338 0.750 1
Cu2 0.000 0.391 0.038 1
Rh1 0.000 0.200 0.611 1


# Sm4CuRh3 GGA-PBE optimized geometry
# DOS at the Fermi energy = 0.757 states/eV per atom
# Formation enthalpy at 0 K = -630 meV per atom
data_Sm4CuRh3
_cell_length_a 3.881
_cell_length_b 4.354
_cell_length_c 10.721
_cell_angle_alpha 90.00
_cell_angle_beta 90.00
_cell_angle_gamma 90.00
_symmetry_space_group_name_H-M 'P m m 2'
_symmetry_Int_Tables_number 25
loop_
_symmetry_equiv_pos_as_xyz
'x,y,z'
'-x,-y,z'
'-x,y,z'
'x,-y,z'
loop_
_atom_site_label
_atom_site_fract_x
_atom_site_fract_y
_atom_site_fract_z
_atom_site_occupancy
Sm1 0.000 0.000 0.000 1
Sm2 0.000 0.500 0.273 1
Sm3 0.500 0.000 0.490 1
Sm4 0.500 0.500 0.773 1
Cu1 0.000 0.000 0.707 1
Rh1 0.000 0.500 0.562 1
Rh2 0.500 0.000 0.222 1
Rh3 0.500 0.500 0.041 1


# SmCu2Rh GGA-PBE optimized geometry
# DOS at the Fermi energy = 0.789 states/eV per atom
# Formation enthalpy at 0 K = -170 meV per atom
data_SmCu2Rh
_cell_length_a 6.480
_cell_length_b 6.480
_cell_length_c 6.480
_cell_angle_alpha 90.00
_cell_angle_beta 90.00
_cell_angle_gamma 90.00
_symmetry_space_group_name_H-M 'F m -3 m'
_symmetry_Int_Tables_number 225
_symmetry_space_group_name_Hall '-F 4 2 3'
loop_
_atom_site_label
_atom_site_fract_x
_atom_site_fract_y
_atom_site_fract_z
_atom_site_occupancy
Sm1 0.000 0.000 0.000 1
Cu1 0.250 0.250 0.250 1
Rh1 0.000 0.000 0.500 1